[1]
A plane-wave DFT calculation with meta-GGA SCAN was carried out for a PBEsol-optimized structure of MoRhSe2N.

Calculated values
- electronic total energy (eV per atom) = -22.98
- symmetry = P4/mmm

Geometry as CIF:
```
data_MoRhSe2N
_space_group_name_H-M_alt 'P 1'
_space_group_IT_number 1
_space_group_name_Hall 'P 1'
_cell_length_a 4.968
_cell_length_b 4.968
_cell_length_c 3.567
_cell_angle_alpha 90.00
_cell_angle_beta 90.00
_cell_angle_gamma 90.00
loop_
_atom_site_label
_atom_site_type_symbol
_atom_site_fract_x
_atom_site_fract_y
_atom_site_fract_z
Mo1 Mo 0.000 0.000 0.000
Rh1 Rh 0.500 0.500 0.500
Se1 Se 0.000 0.500 0.500
Se2 Se 0.500 0.000 0.500
N1 N 0.500 0.500 0.000
```

=====

[2]
A plane-wave DFT calculation with meta-GGA SCAN was carried out for a PBEsol-optimized structure of MoRuSeN2.

Calculated values
- electronic total energy (eV per atom) = -20.69
- symmetry = P4/mmm

Geometry as CIF:
```
data_MoRuSeN2
_space_group_name_H-M_alt 'P 1'
_space_group_IT_number 1
_space_group_name_Hall 'P 1'
_cell_length_a 3.754
_cell_length_b 3.754
_cell_length_c 5.207
_cell_angle_alpha 90.00
_cell_angle_beta 90.00
_cell_angle_gamma 90.00
loop_
_atom_site_label
_atom_site_type_symbol
_atom_site_fract_x
_atom_site_fract_y
_atom_site_fract_z
Mo1 Mo 0.000 0.000 0.000
Ru1 Ru 0.500 0.500 0.500
Se1 Se 0.500 0.500 0.000
N1 N 0.000 0.500 0.500
N2 N 0.500 0.000 0.500
```

=====

[3]
A plane-wave DFT calculation with meta-GGA SCAN was carried out for a PBEsol-optimized structure of TeMoRuN2.

Calculated values
- electronic total energy (eV per atom) = -23.99
- symmetry = P4/mmm

Geometry as CIF:
```
data_TeMoRuN2
_space_group_name_H-M_alt 'P 1'
_space_group_IT_number 1
_space_group_name_Hall 'P 1'
_cell_length_a 3.823
_cell_length_b 3.823
_cell_length_c 5.562
_cell_angle_alpha 90.00
_cell_angle_beta 90.00
_cell_angle_gamma 90.00
loop_
_atom_site_label
_atom_site_type_symbol
_atom_site_fract_x
_atom_site_fract_y
_atom_site_fract_z
Te1 Te 0.000 0.000 0.000
Mo1 Mo 0.500 0.500 0.000
Ru1 Ru 0.000 0.000 0.500
N1 N 0.000 0.500 0.500
N2 N 0.500 0.000 0.500
```

=====

[4]
A plane-wave DFT calculation with meta-GGA SCAN was carried out for a PBEsol-optimized structure of Te2MoRuN.

Calculated values
- electronic total energy (eV per atom) = -30.09
- symmetry = P4/mmm

Geometry as CIF:
```
data_Te2MoRuN
_space_group_name_H-M_alt 'P 1'
_space_group_IT_number 1
_space_group_name_Hall 'P 1'
_cell_length_a 5.277
_cell_length_b 5.277
_cell_length_c 3.589
_cell_angle_alpha 90.00
_cell_angle_beta 90.00
_cell_angle_gamma 90.00
loop_
_atom_site_label
_atom_site_type_symbol
_atom_site_fract_x
_atom_site_fract_y
_atom_site_fract_z
Te1 Te 0.000 0.500 0.000
Te2 Te 0.500 0.000 0.000
Mo1 Mo 0.000 0.000 0.500
Ru1 Ru 0.500 0.500 0.000
N1 N 0.500 0.500 0.500
```

=====

[5]
A plane-wave DFT calculation with meta-GGA SCAN was carried out for a PBEsol-optimized structure of Mo2SN.

Calculated values
- electronic total energy (eV per atom) = -21.88
- symmetry = Fm-3m

Geometry as CIF:
```
data_Mo2SN
_space_group_name_H-M_alt 'P 1'
_space_group_IT_number 1
_space_group_name_Hall 'P 1'
_cell_length_a 4.010
_cell_length_b 4.010
_cell_length_c 4.010
_cell_angle_alpha 60.00
_cell_angle_beta 60.00
_cell_angle_gamma 60.00
loop_
_atom_site_label
_atom_site_type_symbol
_atom_site_fract_x
_atom_site_fract_y
_atom_site_fract_z
Mo1 Mo 0.250 0.250 0.250
Mo2 Mo 0.750 0.750 0.750
S1 S 0.000 0.000 0.000
N1 N 0.500 0.500 0.500
```

=====

[6]
A plane-wave DFT calculation with meta-GGA SCAN was carried out for a PBEsol-optimized structure of ScMoSN2.

Calculated values
- electronic total energy (eV per atom) = -14.82
- symmetry = P4/mmm

Geometry as CIF:
```
data_ScMoSN2
_space_group_name_H-M_alt 'P 1'
_space_group_IT_number 1
_space_group_name_Hall 'P 1'
_cell_length_a 3.994
_cell_length_b 3.994
_cell_length_c 4.830
_cell_angle_alpha 90.00
_cell_angle_beta 90.00
_cell_angle_gamma 90.00
loop_
_atom_site_label
_atom_site_type_symbol
_atom_site_fract_x
_atom_site_fract_y
_atom_site_fract_z
Sc1 Sc 0.000 0.000 0.000
Mo1 Mo 0.500 0.500 0.500
S1 S 0.000 0.000 0.500
N1 N 0.000 0.500 0.000
N2 N 0.500 0.000 0.000
```

=====

[7]
A plane-wave DFT calculation with meta-GGA SCAN was carried out for a PBEsol-optimized structure of SrMoSN2.

Calculated values
- electronic total energy (eV per atom) = -15.26
- symmetry = P4/mmm

Geometry as CIF:
```
data_SrMoSN2
_space_group_name_H-M_alt 'P 1'
_space_group_IT_number 1
_space_group_name_Hall 'P 1'
_cell_length_a 4.531
_cell_length_b 4.531
_cell_length_c 5.785
_cell_angle_alpha 90.00
_cell_angle_beta 90.00
_cell_angle_gamma 90.00
loop_
_atom_site_label
_atom_site_type_symbol
_atom_site_fract_x
_atom_site_fract_y
_atom_site_fract_z
Sr1 Sr 0.000 0.000 0.000
Mo1 Mo 0.500 0.500 0.500
S1 S 0.000 0.000 0.500
N1 N 0.000 0.500 0.000
N2 N 0.500 0.000 0.000
```

=====

[8]
A plane-wave DFT calculation with meta-GGA SCAN was carried out for a PBEsol-optimized structure of TlMoS2N.

Calculated values
- electronic total energy (eV per atom) = -27.27
- symmetry = P4/mmm

Geometry as CIF:
```
data_TlMoS2N
_space_group_name_H-M_alt 'P 1'
_space_group_IT_number 1
_space_group_name_Hall 'P 1'
_cell_length_a 4.843
_cell_length_b 4.843
_cell_length_c 3.804
_cell_angle_alpha 90.00
_cell_angle_beta 90.00
_cell_angle_gamma 90.00
loop_
_atom_site_label
_atom_site_type_symbol
_atom_site_fract_x
_atom_site_fract_y
_atom_site_fract_z
Tl1 Tl 0.000 0.000 0.000
Mo1 Mo 0.500 0.500 0.500
S1 S 0.000 0.500 0.500
S2 S 0.500 0.000 0.500
N1 N 0.500 0.500 0.000
```

=====

[9]
A plane-wave DFT calculation with meta-GGA SCAN was carried out for a PBEsol-optimized structure of SbTe2MoN.

Calculated values
- electronic total energy (eV per atom) = -30.17
- symmetry = P4/mmm

Geometry as CIF:
```
data_SbTe2MoN
_space_group_name_H-M_alt 'P 1'
_space_group_IT_number 1
_space_group_name_Hall 'P 1'
_cell_length_a 4.557
_cell_length_b 4.557
_cell_length_c 4.684
_cell_angle_alpha 90.00
_cell_angle_beta 90.00
_cell_angle_gamma 90.00
loop_
_atom_site_label
_atom_site_type_symbol
_atom_site_fract_x
_atom_site_fract_y
_atom_site_fract_z
Sb1 Sb 0.000 0.000 0.000
Te1 Te 0.000 0.500 0.500
Te2 Te 0.500 0.000 0.500
Mo1 Mo 0.500 0.500 0.000
N1 N 0.000 0.000 0.500
```

=====

[10]
A plane-wave DFT calculation with meta-GGA SCAN was carried out for a PBEsol-optimized structure of SbMoWN2.

Calculated values
- electronic total energy (eV per atom) = -29.69
- symmetry = P4/mmm

Geometry as CIF:
```
data_SbMoWN2
_space_group_name_H-M_alt 'P 1'
_space_group_IT_number 1
_space_group_name_Hall 'P 1'
_cell_length_a 3.906
_cell_length_b 3.906
_cell_length_c 5.362
_cell_angle_alpha 90.00
_cell_angle_beta 90.00
_cell_angle_gamma 90.00
loop_
_atom_site_label
_atom_site_type_symbol
_atom_site_fract_x
_atom_site_fract_y
_atom_site_fract_z
Sb1 Sb 0.000 0.000 0.000
Mo1 Mo 0.500 0.500 0.500
W1 W 0.000 0.000 0.500
N1 N 0.000 0.500 0.000
N2 N 0.500 0.000 0.000
```

=====

[11]
A plane-wave DFT calculation with meta-GGA SCAN was carried out for a PBEsol-optimized structure of ScMo3N.

Calculated values
- electronic total energy (eV per atom) = -25.80
- symmetry = Pm-3m

Geometry as CIF:
```
data_ScMo3N
_space_group_name_H-M_alt 'P 1'
_space_group_IT_number 1
_space_group_name_Hall 'P 1'
_cell_length_a 4.150
_cell_length_b 4.150
_cell_length_c 4.150
_cell_angle_alpha 90.00
_cell_angle_beta 90.00
_cell_angle_gamma 90.00
loop_
_atom_site_label
_atom_site_type_symbol
_atom_site_fract_x
_atom_site_fract_y
_atom_site_fract_z
Sc1 Sc 0.000 0.000 0.000
Mo1 Mo 0.000 0.500 0.500
Mo2 Mo 0.500 0.000 0.500
Mo3 Mo 0.500 0.500 0.000
N1 N 0.500 0.500 0.500
```

=====

[12]
A plane-wave DFT calculation with meta-GGA SCAN was carried out for a PBEsol-optimized structure of Sc2MoN.

Calculated values
- electronic total energy (eV per atom) = -17.55
- symmetry = Fm-3m

Geometry as CIF:
```
data_Sc2MoN
_space_group_name_H-M_alt 'P 1'
_space_group_IT_number 1
_space_group_name_Hall 'P 1'
_cell_length_a 4.367
_cell_length_b 4.367
_cell_length_c 4.367
_cell_angle_alpha 60.00
_cell_angle_beta 60.00
_cell_angle_gamma 60.00
loop_
_atom_site_label
_atom_site_type_symbol
_atom_site_fract_x
_atom_site_fract_y
_atom_site_fract_z
Sc1 Sc 0.250 0.250 0.250
Sc2 Sc 0.750 0.750 0.750
Mo1 Mo 0.000 0.000 0.000
N1 N 0.500 0.500 0.500
```

=====

[13]
A plane-wave DFT calculation with meta-GGA SCAN was carried out for a PBEsol-optimized structure of ScMoSe2N.

Calculated values
- electronic total energy (eV per atom) = -19.39
- symmetry = P4/mmm

Geometry as CIF:
```
data_ScMoSe2N
_space_group_name_H-M_alt 'P 1'
_space_group_IT_number 1
_space_group_name_Hall 'P 1'
_cell_length_a 5.081
_cell_length_b 5.081
_cell_length_c 3.931
_cell_angle_alpha 90.00
_cell_angle_beta 90.00
_cell_angle_gamma 90.00
loop_
_atom_site_label
_atom_site_type_symbol
_atom_site_fract_x
_atom_site_fract_y
_atom_site_fract_z
Sc1 Sc 0.000 0.000 0.000
Mo1 Mo 0.500 0.500 0.500
Se1 Se 0.000 0.500 0.000
Se2 Se 0.500 0.000 0.000
N1 N 0.000 0.000 0.500
```